DFT (PBE) results for crystalline Cs2CoBr6 at its relaxed geometry.

```
Cs2CoBr6
1.0
7.6375 0.0000 0.0000
-3.8187 6.6142 0.0000
0.0000 0.0000 12.6133
Cs Co Br
4 2 12
Cartesian
0.0000 0.0000 7.9098
0.0000 0.0000 1.6032
0.0000 4.4095 11.0368
3.8187 2.2047 4.7302
0.0000 4.4095 3.1571
3.8187 2.2047 9.4637
0.0000 6.3790 1.7473
2.1131 3.1895 8.0540
5.5244 3.1895 8.0540
-1.7057 3.4247 1.7473
1.7057 3.4247 1.7473
3.8187 0.2352 8.0540
3.8187 4.1932 10.8557
-1.7220 5.4037 4.5491
1.7220 5.4037 4.5491
2.0967 1.2105 10.8557
5.5407 1.2105 10.8557
0.0000 2.4211 4.5491
```

Calculated values
- space-group type = No. 186
- volume (Å³/atom) = 35.4
- DOS at the Fermi energy (states/eV/f.u.) = 17.50

---

DFT (PBE) results for crystalline Np2AsSe at its relaxed geometry.

```
Np2AsSe
1.0
4.9851 0.0000 0.0000
2.4926 4.3172 0.0000
2.4926 1.4391 4.0703
Np As Se
2 1 1
Cartesian
2.4926 1.4391 1.0176
7.4777 4.3172 3.0527
0.0000 0.0000 0.0000
4.9851 2.8781 2.0352
```

Calculated values
- relative energy among the computed polymorphs (meV per atom) = 153
- space-group type = No. 225
- volume (Å³/atom) = 21.9
- DOS at the Fermi energy (states/eV/f.u.) = 10.48

---

DFT (PBE) results for crystalline PmErSiSe at its relaxed geometry.

```
PmErSiSe
1.0
4.1429 0.0000 0.0000
2.0715 3.5879 0.0000
2.0715 1.1960 6.8593
Pm Er Si Se
1 1 1 1
Cartesian
6.2144 3.5879 6.3896
2.0715 1.1960 2.7820
6.2144 3.5879 1.2113
4.1429 2.3919 4.5068
```

Calculated values
- space-group type = No. 160
- volume (Å³/atom) = 25.5
- DOS at the Fermi energy (states/eV/f.u.) = 1.33

---

Computed electronic total energy (eV per atom) in order:
-3.02; -9.25; -5.84